GdZrGaPd | PBE | relaxed

Results
* space group: F-43m, No. 216
* calculated total energy: -32.92 eV for the cell shown
* DFT formation energy: -2.07 eV/f.u.

```
data_GdZrGaPd
_cell_length_a 4.918
_cell_length_b 4.918
_cell_length_c 4.918
_cell_angle_alpha 60.00
_cell_angle_beta 60.00
_cell_angle_gamma 60.00
_space_group_name_H-M_alt 'P 1'
_space_group_IT_number 1
loop_
_space_group_symop_operation_xyz
'x,y,z'
loop_
_atom_site_label
_atom_site_type_symbol
_atom_site_fract_x
_atom_site_fract_y
_atom_site_fract_z
_atom_site_occupancy
Ga1 Ga 0.250 0.250 0.250 1
Gd1 Gd 0.000 0.000 0.000 1
Zr1 Zr 0.500 0.500 0.500 1
Pd1 Pd 0.750 0.750 0.750 1
```

=====

Th8Ir4SeS3 | PBE | relaxed

Results
* space group: R-3m, No. 166
* calculated total energy: -132.29 eV for the cell shown
* raw formation energy: -1.3516 eV/atom

```
data_Th8Ir4SeS3
_cell_length_a 8.199
_cell_length_b 8.593
_cell_length_c 8.199
_cell_angle_alpha 118.50
_cell_angle_beta 120.00
_cell_angle_gamma 90.00
_space_group_name_H-M_alt 'P 1'
_space_group_IT_number 1
loop_
_space_group_symop_operation_xyz
'x,y,z'
loop_
_atom_site_label
_atom_site_type_symbol
_atom_site_fract_x
_atom_site_fract_y
_atom_site_fract_z
_atom_site_occupancy
Th1 Th 0.259 0.774 0.014 1
Th2 Th 0.259 0.774 0.519 1
Th3 Th 0.243 0.229 0.486 1
Th4 Th 0.755 0.774 0.014 1
Th5 Th 0.245 0.226 0.986 1
Th6 Th 0.757 0.771 0.514 1
Th7 Th 0.741 0.226 0.481 1
Th8 Th 0.741 0.226 0.986 1
Ir1 Ir 0.500 0.000 0.000 1
Ir2 Ir 0.500 0.000 0.500 1
Ir3 Ir 0.000 0.000 0.000 1
Ir4 Ir 0.000 0.000 0.500 1
Se1 Se 0.000 0.500 0.000 1
S1 S 0.500 0.500 0.000 1
S2 S 0.500 0.500 0.500 1
S3 S 0.000 0.500 0.500 1
```

=====

PmIn4Sn | PBE | relaxed

Results
* space group: P4/mmm, No. 123
* calculated total energy: -20.22 eV for the cell shown
* excess energy over the best structure of this formula in the dataset: 0.047 eV/atom
* DFT formation energy: -0.51 eV/f.u.

```
data_PmIn4Sn
_cell_length_a 4.463
_cell_length_b 4.463
_cell_length_c 9.168
_cell_angle_alpha 90.00
_cell_angle_beta 90.00
_cell_angle_gamma 90.00
_space_group_name_H-M_alt 'P 1'
_space_group_IT_number 1
loop_
_space_group_symop_operation_xyz
'x,y,z'
loop_
_atom_site_label
_atom_site_type_symbol
_atom_site_fract_x
_atom_site_fract_y
_atom_site_fract_z
_atom_site_occupancy
Pm1 Pm 0.501 0.497 0.998 1
In1 In 0.501 0.997 0.261 1
In2 In 0.501 0.997 0.735 1
In3 In 0.001 0.497 0.735 1
In4 In 0.001 0.497 0.261 1
Sn1 Sn 0.001 0.997 0.498 1
```

=====

Sc2SnAs2 | PBE | relaxed

Results
* space group: P4/mbm, No. 127
* calculated total energy: -58.96 eV for the cell shown
* excess energy over the best structure of this formula in the dataset: 0.072 eV/atom
* DFT formation energy: -3.51 eV/f.u.

```
data_Sc2SnAs2
_cell_length_a 7.613
_cell_length_b 7.613
_cell_length_c 3.652
_cell_angle_alpha 90.00
_cell_angle_beta 90.00
_cell_angle_gamma 90.00
_space_group_name_H-M_alt 'P 1'
_space_group_IT_number 1
loop_
_space_group_symop_operation_xyz
'x,y,z'
loop_
_atom_site_label
_atom_site_type_symbol
_atom_site_fract_x
_atom_site_fract_y
_atom_site_fract_z
_atom_site_occupancy
Sc1 Sc 0.351 0.851 0.000 1
Sc2 Sc 0.851 0.649 0.000 1
Sc3 Sc 0.649 0.149 0.000 1
Sc4 Sc 0.149 0.351 0.000 1
As1 As 0.159 0.659 0.500 1
As2 As 0.659 0.841 0.500 1
As3 As 0.841 0.341 0.500 1
As4 As 0.341 0.159 0.500 1
Sn1 Sn 0.000 0.000 0.000 1
Sn2 Sn 0.500 0.500 0.000 1
```

=====

YEr2Pa | PBE | relaxed

Results
* space group: R3m, No. 160
* calculated total energy: -24.65 eV for the cell shown
* excess energy over the best structure of this formula in the dataset: 0.000 eV/atom
* DFT formation energy: 0.44 eV/f.u.

```
data_YEr2Pa
_cell_length_a 3.420
_cell_length_b 3.420
_cell_length_c 11.643
_cell_angle_alpha 81.56
_cell_angle_beta 81.56
_cell_angle_gamma 60.00
_space_group_name_H-M_alt 'P 1'
_space_group_IT_number 1
loop_
_space_group_symop_operation_xyz
'x,y,z'
loop_
_atom_site_label
_atom_site_type_symbol
_atom_site_fract_x
_atom_site_fract_y
_atom_site_fract_z
_atom_site_occupancy
Y1 Y 0.666 0.666 0.001 1
Er1 Er 0.086 0.086 0.742 1
Er2 Er 0.247 0.247 0.259 1
Pa1 Pa 0.500 0.500 0.499 1
```

=====

Np2GeO | PBE | relaxed

Results
* space group: R-3m, No. 166
* calculated total energy: -39.58 eV for the cell shown
* raw formation energy: -1.0299 eV/atom

```
data_Np2GeO
_cell_length_a 3.656
_cell_length_b 3.656
_cell_length_c 6.961
_cell_angle_alpha 74.77
_cell_angle_beta 74.77
_cell_angle_gamma 60.00
_space_group_name_H-M_alt 'P 1'
_space_group_IT_number 1
loop_
_space_group_symop_operation_xyz
'x,y,z'
loop_
_atom_site_label
_atom_site_type_symbol
_atom_site_fract_x
_atom_site_fract_y
_atom_site_fract_z
_atom_site_occupancy
Np1 Np 0.769 0.769 0.694 1
Np2 Np 0.231 0.231 0.306 1
Ge1 Ge 0.000 0.000 0.000 1
O1 O 0.500 0.500 0.500 1
```

=====

Hg2BiP | PBE | relaxed

Results
* space group: I-42d, No. 122
* calculated total energy: -17.18 eV for the cell shown
* DFT formation energy: 1.30 eV/f.u.

```
data_Hg2BiP
_cell_length_a 6.502
_cell_length_b 6.502
_cell_length_c 7.496
_cell_angle_alpha 64.30
_cell_angle_beta 64.30
_cell_angle_gamma 90.00
_space_group_name_H-M_alt 'P 1'
_space_group_IT_number 1
loop_
_space_group_symop_operation_xyz
'x,y,z'
loop_
_atom_site_label
_atom_site_type_symbol
_atom_site_fract_x
_atom_site_fract_y
_atom_site_fract_z
_atom_site_occupancy
P1 P 0.500 0.500 0.000 1
P2 P 0.250 0.750 0.500 1
Bi1 Bi 0.000 0.000 0.000 1
Bi2 Bi 0.750 0.250 0.500 1
Hg1 Hg 0.565 0.125 0.250 1
Hg2 Hg 0.185 0.625 0.250 1
Hg3 Hg 0.375 0.435 0.750 1
Hg4 Hg 0.875 0.815 0.750 1
```

=====

LiMg2Br | PBE | relaxed

Results
* space group: P4mm, No. 99
* calculated total energy: -8.58 eV for the cell shown
* raw formation energy: -0.4510 eV/atom
* excess energy over the best structure of this formula in the dataset: 0.010 eV/atom

```
data_LiMg2Br
_cell_length_a 3.522
_cell_length_b 3.522
_cell_length_c 8.920
_cell_angle_alpha 90.00
_cell_angle_beta 90.00
_cell_angle_gamma 90.00
_space_group_name_H-M_alt 'P 1'
_space_group_IT_number 1
loop_
_space_group_symop_operation_xyz
'x,y,z'
loop_
_atom_site_label
_atom_site_type_symbol
_atom_site_fract_x
_atom_site_fract_y
_atom_site_fract_z
_atom_site_occupancy
Br1 Br 0.000 0.000 0.639 1
Li1 Li 0.500 0.500 0.714 1
Mg1 Mg 0.000 0.000 0.972 1
Mg2 Mg 0.500 0.500 0.175 1
```

=====

> What is the calculated total energy in the sixth record?

-39.58 eV for the cell shown

=====

> What is the formula in the sixth record?

Np2GeO